First-principles (PBE) data for a relaxed CoAs2Rh crystal, as listed in Alexandria.

abc: 5.2272 5.2272 6.7393
angles: 67.18 67.18 90.00
With the nearest neighbours (Å) after each atom.
Atoms (fractional coordinates):
Rh (0.7500, 0.2500, 0.5000)  4 As 2.39
Rh (0.0000, 0.0000, 0.0000)  4 As 2.39
As (0.1478, 0.6250, 0.2500)  2 Co 2.26, 2 Rh 2.39
As (0.8750, 0.8522, 0.7500)  2 Co 2.26, 2 Rh 2.39
As (0.6022, 0.1250, 0.2500)  2 Co 2.26, 2 Rh 2.39
As (0.3750, 0.3978, 0.7500)  2 Co 2.26, 2 Rh 2.39
Co (0.5000, 0.5000, 0.0000)  4 As 2.26
Co (0.2500, 0.7500, 0.5000)  4 As 2.26

Computed properties:
Total magnetization, μB/f.u.: 0.0
Formation energy, eV/atom: -0.043